Entry 1:
Density functional theory data (GGA-PBE) for NaTl3Cr2Cl9 after structural relaxation.

Cell: 7.1141 7.1141 8.8034 Å, 90.00 90.00 120.00°
Last column: nearest neighbours and their distance in Å.
Fractional coordinates of all 15 atoms:
Na (0.0000, 0.0000, 0.5000)  6 Cl 2.71
Tl (0.3333, 0.6667, 0.6546)  12 Cl 3.57-3.67
Tl (0.0000, 0.0000, 0.0000)  12 Cl 3.51-3.56
Tl (0.6667, 0.3333, 0.3454)  12 Cl 3.57-3.67
Cr (0.3333, 0.6667, 0.1614)  6 Cl 2.37-2.50
Cr (0.6667, 0.3333, 0.8386)  6 Cl 2.37-2.50
Cl (0.8245, 0.1755, 0.6857)  1 Cr 2.37
Cl (0.8245, 0.6491, 0.6857)  1 Cr 2.37
Cl (0.3509, 0.1755, 0.6857)  1 Cr 2.37
Cl (0.6491, 0.8245, 0.3143)  1 Cr 2.37
Cl (0.1755, 0.3509, 0.3143)  1 Cr 2.37
Cl (0.1755, 0.8245, 0.3143)  1 Cr 2.37
Cl (0.5000, 0.0000, 0.0000)  2 Cr 2.50
Cl (0.0000, 0.5000, 0.0000)  2 Cr 2.50
Cl (0.5000, 0.5000, 0.0000)  2 Cr 2.50

Values from the calculation:
For the energy, the calculation gives -4.073 eV per atom.

***

Entry 2:
Density functional theory data (GGA-PBE) for NaTlCrCl6 after structural relaxation.

Cell: 6.8465 6.8468 6.3232 Å, 90.03 89.98 59.93°
Last column: nearest neighbours and their distance in Å.
Fractional coordinates of all 9 atoms:
Na (0.6664, 0.6665, 0.5000)  6 Cl 2.79
Tl (0.9999, 0.0000, 0.0000)  6 Cl 3.14
Cr (0.3333, 0.3334, 0.5000)  6 Cl 2.32
Cl (0.0515, 0.3472, 0.2862)  1 Cr 2.32
Cl (0.3472, 0.0515, 0.7138)  1 Cr 2.32
Cl (0.6012, 0.3476, 0.7138)  1 Cr 2.32
Cl (0.0506, 0.6021, 0.7132)  1 Cr 2.32
Cl (0.3476, 0.6012, 0.2861)  1 Cr 2.32
Cl (0.6021, 0.0506, 0.2868)  1 Cr 2.32

Values from the calculation:
For the energy, the calculation gives -3.816 eV per atom.

***

Calculated volume, 25.72; 28.50 Å³/atom (same order as the records).